Compound: Gd3Ga8Ag3
Source: OQMD
Functional: PBE-GGA
Structure: relaxed

Output
ρ = 8.29 g cm⁻³
Total magnetic moment = 0.018 Bohr magnetons per cell
E = -53.3 eV per cell
Space group = Immm, No. 71

Lattice parameters (Å, degrees): 8.369 8.369 8.369 149.83 110.46 77.64
Atoms (fractional coordinates):
Gd (0.000, 0.000, 0.000)
Gd (0.299, 0.299, 0.000)
Gd (0.701, 0.701, 0.000)
Ga (0.027, 0.659, 0.368)
Ga (0.138, 0.857, 0.281)
Ga (0.290, 0.659, 0.632)
Ga (0.424, 0.143, 0.281)
Ga (0.576, 0.857, 0.719)
Ga (0.710, 0.341, 0.368)
Ga (0.862, 0.143, 0.719)
Ga (0.973, 0.341, 0.632)
Ag (0.306, 0.500, 0.806)
Ag (0.500, 0.000, 0.500)
Ag (0.694, 0.500, 0.194)